Computed, not measured: Li2CaAg2 after structural relaxation at the PBE level of DFT.

Values from the calculation:
As for the energy above the most stable polymorph in this dataset: 38.0 kJ/mol of formula units. Its formation energy is -0.14 eV per atom. As for the crystal system: tetragonal.

a = 7.936 Å, b = 7.936 Å, c = 3.254 Å
α = 90.00°, β = 90.00°, γ = 90.00°
Fractional positions:
Ca 0.000 0.000 0.000
Ca 0.500 0.500 0.000
Ag 0.361 0.861 0.000
Ag 0.861 0.639 0.000
Ag 0.639 0.139 0.000
Ag 0.139 0.361 0.000
Li 0.148 0.648 0.500
Li 0.648 0.852 0.500
Li 0.852 0.352 0.500
Li 0.352 0.148 0.500

Computed, not measured: Li12Ca16Ag after structural relaxation at the PBE level of DFT.

Values from the calculation:
Its formation energy is 0.02 eV per atom. As for the crystal system: monoclinic.

a = 10.347 Å, b = 10.347 Å, c = 11.490 Å
α = 110.95°, β = 110.95°, γ = 107.15°
Fractional positions:
Li 0.809 0.809 0.123
Li 0.621 0.621 0.792
Li 0.373 0.194 0.036
Li 0.832 0.644 0.657
Li 0.186 0.993 0.325
Li 0.387 0.995 0.185
Li 0.194 0.821 0.852
Li 0.821 0.194 0.852
Li 0.995 0.387 0.185
Li 0.993 0.186 0.325
Li 0.644 0.832 0.657
Li 0.194 0.373 0.036
Ca 0.392 0.392 0.367
Ca 0.009 0.009 0.021
Ca 0.029 0.029 0.720
Ca 0.274 0.274 0.632
Ca 0.636 0.408 0.999
Ca 0.594 0.236 0.582
Ca 0.967 0.732 0.374
Ca 0.997 0.628 0.001
Ca 0.739 0.351 0.339
Ca 0.381 0.997 0.690
Ca 0.997 0.381 0.690
Ca 0.351 0.739 0.339
Ca 0.628 0.997 0.001
Ca 0.732 0.967 0.374
Ca 0.236 0.594 0.582
Ca 0.408 0.636 0.999
Ag 0.582 0.582 0.261

Computed, not measured: Li2CaAg after structural relaxation at the PBE level of DFT.

Values from the calculation:
As for the energy above the most stable polymorph in this dataset: 1.7 kJ/mol of formula units. Its formation energy is -0.17 eV per atom. As for the crystal system: monoclinic.

a = 4.403 Å, b = 5.852 Å, c = 7.852 Å
α = 90.00°, β = 90.00°, γ = 112.33°
Fractional positions:
Li 0.347 0.693 0.558
Li 0.653 0.307 0.442
Li 0.347 0.693 0.942
Li 0.653 0.307 0.058
Ca 0.938 0.874 0.250
Ca 0.062 0.126 0.750
Ag 0.777 0.554 0.750
Ag 0.223 0.446 0.250

Computed, not measured: Li4Ca2Ag after structural relaxation at the PBE level of DFT.

Values from the calculation:
Its formation energy is 0.08 eV per atom. As for the crystal system: tetragonal.

a = 4.865 Å, b = 4.865 Å, c = 8.856 Å
α = 74.06°, β = 74.06°, γ = 90.00°
Fractional positions:
Ca 0.639 0.639 0.723
Ca 0.361 0.361 0.277
Ag 0.000 0.000 0.000
Li 0.840 0.840 0.320
Li 0.160 0.160 0.680
Li 0.000 0.500 0.000
Li 0.500 0.000 0.000